A relaxed structure of SrPmHo. Source: the Open Quantum Materials Database, functional PBE.

a = 5.7747 Å, b = 5.7747 Å, c = 5.7747 Å
α = 60.00°, β = 60.00°, γ = 60.00°
Last column: nearest neighbours and their distance in Å.
Fractional positions:
Ho 0.0000 0.0000 0.0000  4 Pm 3.54, 4 Sr 3.54
Pm 0.2500 0.2500 0.2500  4 Ho 3.54
Sr 0.7500 0.7500 0.7500  4 Ho 3.54

Calculated total energy   -2.881 eV per atom
E above lowest polymorph   0.000 eV/f.u.

A relaxed structure of PrCuSbAs. Source: the Open Quantum Materials Database, functional PBE.

a = 4.1922 Å, b = 4.1922 Å, c = 10.1965 Å
α = 90.00°, β = 90.00°, γ = 90.00°
Last column: nearest neighbours and their distance in Å.
Fractional positions:
Pr 0.5000 0.0000 0.2406  4 As 3.13, 4 Cu 3.23, 4 Sb 3.38
Pr 0.0000 0.5000 0.7594  4 As 3.13, 4 Cu 3.23, 4 Sb 3.38
Sb 0.5000 0.5000 0.5000  4 Sb 2.96
Sb 0.0000 0.0000 0.5000  4 Sb 2.96
Cu 0.0000 0.0000 0.0000  4 As 2.56
Cu 0.5000 0.5000 0.0000  4 As 2.56
As 0.5000 0.0000 0.8565  4 Cu 2.56
As 0.0000 0.5000 0.1435  4 Cu 2.56

Calculated total energy   -5.074 eV per atom
E above lowest polymorph   0.000 eV/f.u.